A plane-wave DFT calculation with PBE was carried out for a relaxed Cs2KBaTe crystal.

The structure belongs to space group P4/mmm (No. 123); the cell edges are 7.544, 7.544 and 7.428 Å and the angles 90.00°, 90.00° and 90.00°. The inequivalent atoms are Cs at (0.000, 0.500, 0.000), K at (0.000, 0.000, 0.500), Ba at (0.000, 0.000, 0.000) and Te at (0.500, 0.500, 0.500).

The mass density comes out at 2.24 Mg/m³. The crystal system is tetragonal. The value obtained for the distance to the lowest polymorph of the same formula is 459 kJ/mol of formula units. For the total energy, the calculation gives -1.16 eV/atom. The calculation puts the uncorrected formation energy at 413 meV per atom.



A plane-wave DFT calculation with PBE was carried out for a relaxed CsK2BaTe crystal.

The structure belongs to space group P4/mmm (No. 123); the cell edges are 7.079, 7.079 and 6.782 Å and the angles 90.00°, 90.00° and 90.00°. The inequivalent atoms are Cs at (0.000, 0.000, 0.000), K at (0.000, 0.500, 0.500), Ba at (0.500, 0.500, 0.000) and Te at (0.500, 0.500, 0.500).

The mass density comes out at 2.33 Mg/m³. The crystal system is tetragonal. For the total energy, the calculation gives -2.13 eV/atom. The calculation puts the uncorrected formation energy at -512 meV per atom.



A plane-wave DFT calculation with PBE was carried out for a relaxed Cs2KBaTe crystal.

The structure belongs to space group P4/mmm (No. 123); the cell edges are 7.602, 7.602 and 6.761 Å and the angles 90.00°, 90.00° and 90.00°. The inequivalent atoms are Cs at (0.000, 0.500, 0.000), K at (0.000, 0.000, 0.500), Ba at (0.500, 0.500, 0.500) and Te at (0.500, 0.500, 0.000).

The mass density comes out at 2.42 Mg/m³. The crystal system is tetragonal. The value obtained for the distance to the lowest polymorph of the same formula is 0 kJ/mol of formula units. For the total energy, the calculation gives -2.11 eV/atom. The calculation puts the uncorrected formation energy at -538 meV per atom.



A plane-wave DFT calculation with PBE was carried out for a relaxed CsK2BaTl crystal.

The structure belongs to space group P4/mmm (No. 123); the cell edges are 7.170, 7.170 and 6.794 Å and the angles 90.00°, 90.00° and 90.00°. The inequivalent atoms are Cs at (0.000, 0.000, 0.000), K at (0.000, 0.500, 0.500), Ba at (0.500, 0.500, 0.000) and Tl at (0.500, 0.500, 0.500).

As for the formation energy: 0.01 eV per atom. The mass density comes out at 2.63 Mg/m³. The crystal system is tetragonal. For the total energy, the calculation gives -1.46 eV/atom.